U3Cr5O12 (PBE+U, relaxed); SG = Ia-3d; E_tot = -8.78 eV/atom; M_tot = 24.00 μB/f.u.; calculated volume = 12.6 A^3/atom
1.0
10.9322 0.0000 0.0000
-3.6441 10.3070 0.0000
-3.6441 -5.1535 8.9261
Cr O U
20 48 12
Direct
0.0000 0.0000 0.5000
0.5000 0.0000 0.0000
0.2500 0.3750 0.6250
0.0000 0.5000 0.0000
0.3750 0.2500 0.1250
0.0000 0.5000 0.5000
0.8750 0.2500 0.6250
0.6250 0.7500 0.8750
0.6250 0.8750 0.2500
0.1250 0.3750 0.2500
0.1250 0.7500 0.3750
0.0000 0.0000 0.0000
0.5000 0.5000 0.5000
0.8750 0.6250 0.7500
0.2500 0.8750 0.1250
0.5000 0.0000 0.5000
0.7500 0.1250 0.8750
0.5000 0.5000 0.0000
0.3750 0.1250 0.7500
0.7500 0.6250 0.3750
0.5429 0.2122 0.1293
0.3307 0.5429 0.4136
0.4571 0.7878 0.8707
0.0829 0.9136 0.3707
0.1693 0.0864 0.9571
0.6293 0.5864 0.9171
0.0429 0.6293 0.7122
0.5829 0.7122 0.6693
0.5864 0.9571 0.6693
0.6693 0.2122 0.5829
0.2122 0.5429 0.6293
0.0864 0.1693 0.4571
0.5829 0.8707 0.4136
0.1693 0.0829 0.7122
0.4171 0.1293 0.5864
0.3307 0.7878 0.4171
0.4136 0.0429 0.3307
0.5864 0.6293 0.4171
0.7122 0.5829 0.1693
0.8307 0.9136 0.0429
0.8707 0.2878 0.4571
0.5429 0.3307 0.9136
0.2122 0.6693 0.0829
0.9171 0.0864 0.6293
0.9136 0.0829 0.8707
0.7122 0.1293 0.0429
0.9571 0.5864 0.1693
0.2878 0.8707 0.9571
0.9136 0.8307 0.5429
0.1293 0.7122 0.5429
0.2878 0.4171 0.8307
0.9171 0.8307 0.7878
0.6693 0.4571 0.5864
0.3707 0.4136 0.0829
0.7878 0.4571 0.3707
0.0429 0.4136 0.8307
0.0829 0.1693 0.2122
0.9571 0.3707 0.2878
0.4571 0.6693 0.0864
0.8707 0.5829 0.9136
0.3707 0.9571 0.7878
0.8307 0.9171 0.2878
0.0864 0.9171 0.1293
0.4136 0.3707 0.5829
0.6293 0.0429 0.2122
0.7878 0.3307 0.9171
0.1293 0.4171 0.0864
0.4171 0.2878 0.3307
0.8750 0.7500 0.1250
0.6250 0.3750 0.7500
0.3750 0.7500 0.6250
0.2500 0.6250 0.8750
0.1250 0.2500 0.8750
0.8750 0.1250 0.2500
0.7500 0.3750 0.1250
0.2500 0.1250 0.3750
0.6250 0.2500 0.3750
0.1250 0.8750 0.7500
0.7500 0.8750 0.6250
0.3750 0.6250 0.2500